Here is a relaxed structure of Ca4PSeBr2 from the Alexandria database. Energies are from PBE.

The value obtained for the density of states at the Fermi level is 3.2 states/eV/f.u. Its space-group type is P2/m. The total energy comes out at -33.21 eV per formula unit. The uncorrected formation energy is -1620 meV/atom.

Lattice parameters (Å, degrees): 7.343 4.227 7.393 90.00 109.25 90.00
Fractional coordinates of all 8 atoms:
1 Ca 0.225 0.000 0.210
2 Ca 0.249 0.500 0.785
3 Ca 0.751 0.500 0.215
4 Ca 0.775 0.000 0.790
5 P 0.000 0.500 0.000
6 Se 0.500 0.000 0.000
7 Br 0.000 0.000 0.500
8 Br 0.500 0.500 0.500